Material: ZnCrPd4
Method: DFT, PBE
State: relaxed

Output
Formation energy: 0.04 eV per atom
Calculated total energy: -5.235 eV per atom

Lattice parameters (Å, degrees): 4.1588 4.1648 7.1601 73.05 73.12 60.05
Last column: nearest neighbours and their distance in Å.
Sites, in units of the cell vectors:
Pd: 0.3756 0.3764 0.8723  1 Cr 2.51, 3 Zn 2.55
Pd: 0.8739 0.8749 0.3773  3 Cr 2.54, 1 Zn 2.54
Cr: 0.5000 0.5000 0.5000  8 Pd 2.51-2.54
Pd: 0.6244 0.6236 0.1277  1 Cr 2.51, 3 Zn 2.55
Pd: 0.1261 0.1251 0.6227  3 Cr 2.54, 1 Zn 2.54
Zn: 0.0000 0.0000 0.0000  8 Pd 2.54-2.55